A plane-wave DFT calculation with GGA-PBE was carried out for an optimized crystal structure of BPd4Au.

Computed properties:
**ΔH_f (0 K)**: -0.21 eV/atom
**Magnetization**: 0.00 μB per atom
**Calculated volume**: 176 Å³ per cell

Cell and atoms, written as POSCAR:
```
BPd4Au
1.0
6.478 -2.502 0.000
6.478 2.502 0.000
-1.699 0.000 5.436
B Pd Au
2 8 2
Direct
0.000 0.500 0.000
0.500 0.000 0.500
0.008 0.187 0.947
0.187 0.008 0.447
0.208 0.401 0.360
0.401 0.208 0.860
0.599 0.792 0.140
0.792 0.599 0.640
0.813 0.992 0.553
0.992 0.813 0.053
0.404 0.596 0.750
0.596 0.404 0.250
```

A plane-wave DFT calculation with GGA-PBE was carried out for an optimized crystal structure of BPd3Au2.

Computed properties:
**ΔH_f (0 K)**: -0.15 eV/atom
**Magnetization**: 0.00 μB per atom
**Calculated volume**: 91 Å³ per cell

Cell and atoms, written as POSCAR:
```
BPd3Au2
1.0
2.996 0.000 0.000
-0.009 4.247 0.000
-1.495 -2.097 7.180
B Pd Au
1 3 2
Direct
0.000 0.000 0.000
0.000 0.500 0.000
0.398 0.898 0.795
0.602 0.102 0.205
0.201 0.700 0.400
0.799 0.300 0.600
```

A plane-wave DFT calculation with GGA-PBE was carried out for an optimized crystal structure of BPd5Au.

Computed properties:
**ΔH_f (0 K)**: -0.07 eV/atom
**Magnetization**: 0.00 μB per atom
**Calculated volume**: 103 Å³ per cell

Cell and atoms, written as POSCAR:
```
BPd5Au
1.0
3.853 0.000 0.000
0.000 3.853 0.000
0.000 0.000 6.942
B Pd Au
1 5 1
Direct
0.000 0.000 0.000
0.000 0.000 0.500
0.000 0.500 0.190
0.000 0.500 0.810
0.500 0.000 0.190
0.500 0.000 0.810
0.500 0.500 0.500
```

A plane-wave DFT calculation with GGA-PBE was carried out for an optimized crystal structure of B2Pd8Au.

Computed properties:
**ΔH_f (0 K)**: -0.10 eV/atom
**Magnetization**: 0.00 μB per atom
**Calculated volume**: 159 Å³ per cell

Cell and atoms, written as POSCAR:
```
B2Pd8Au
1.0
8.561 -1.417 0.000
8.561 1.417 0.000
-1.870 0.000 6.567
B Pd Au
2 8 1
Direct
0.166 0.166 0.185
0.834 0.834 0.815
0.043 0.043 0.198
0.235 0.235 0.813
0.330 0.330 0.551
0.390 0.390 0.076
0.610 0.610 0.924
0.670 0.670 0.449
0.765 0.765 0.187
0.957 0.957 0.802
0.500 0.500 0.500
```

A plane-wave DFT calculation with GGA-PBE was carried out for an optimized crystal structure of BPd4Au.

Computed properties:
**ΔH_f (0 K)**: -0.15 eV/atom
**Magnetization**: 0.00 μB per atom
**Calculated volume**: 175 Å³ per cell

Cell and atoms, written as POSCAR:
```
BPd4Au
1.0
6.818 -2.818 0.000
6.818 2.818 0.000
-1.745 0.000 4.563
B Pd Au
2 8 2
Direct
0.000 0.000 0.187
0.000 0.000 0.813
0.137 0.636 0.886
0.190 0.190 0.690
0.256 0.744 0.500
0.364 0.863 0.114
0.636 0.137 0.886
0.744 0.256 0.500
0.810 0.810 0.310
0.863 0.364 0.114
0.307 0.307 0.308
0.693 0.693 0.692
```

A plane-wave DFT calculation with GGA-PBE was carried out for an optimized crystal structure of B4Pd12Au.

Computed properties:
**ΔH_f (0 K)**: -0.17 eV/atom
**Magnetization**: 0.00 μB per atom
**Calculated volume**: 242 Å³ per cell

Cell and atoms, written as POSCAR:
```
B4Pd12Au
1.0
-3.925 3.925 3.925
3.925 -3.925 3.925
3.925 3.925 -3.925
B Pd Au
4 12 1
Direct
0.000 0.000 0.500
0.000 0.500 0.000
0.500 0.000 0.000
0.500 0.500 0.500
0.143 0.823 0.320
0.177 0.320 0.497
0.177 0.680 0.857
0.320 0.143 0.823
0.320 0.497 0.177
0.497 0.177 0.320
0.503 0.823 0.680
0.680 0.503 0.823
0.680 0.857 0.177
0.823 0.320 0.143
0.823 0.680 0.503
0.857 0.177 0.680
0.000 0.000 0.000
```

A plane-wave DFT calculation with GGA-PBE was carried out for an optimized crystal structure of BPd2Au.

Computed properties:
**ΔH_f (0 K)**: -0.02 eV/atom
**Magnetization**: 0.00 μB per atom
**Calculated volume**: 116 Å³ per cell

Cell and atoms, written as POSCAR:
```
BPd2Au
1.0
-3.336 3.336 2.615
3.336 -3.336 2.615
3.336 3.336 -2.615
B Pd Au
2 4 2
Direct
0.000 0.000 0.000
0.750 0.250 0.500
0.033 0.625 0.908
0.375 0.283 0.408
0.717 0.125 0.092
0.875 0.967 0.592
0.250 0.750 0.500
0.500 0.500 0.000
```

A plane-wave DFT calculation with GGA-PBE was carried out for an optimized crystal structure of B2Pd8Au.

Computed properties:
**ΔH_f (0 K)**: -0.11 eV/atom
**Magnetization**: 0.00 μB per atom
**Calculated volume**: 156 Å³ per cell

Cell and atoms, written as POSCAR:
```
B2Pd8Au
1.0
3.562 -5.224 0.000
3.562 5.224 0.000
-0.939 0.000 4.204
B Pd Au
2 8 1
Direct
0.176 0.824 0.000
0.824 0.176 0.000
0.109 0.109 0.291
0.167 0.436 0.912
0.241 0.759 0.500
0.436 0.167 0.912
0.564 0.833 0.088
0.759 0.241 0.500
0.833 0.564 0.088
0.891 0.891 0.709
0.500 0.500 0.500
```

A plane-wave DFT calculation with GGA-PBE was carried out for an optimized crystal structure of BPd6Au2.

Computed properties:
**ΔH_f (0 K)**: -0.19 eV/atom
**Magnetization**: 0.00 μB per atom
**Calculated volume**: 137 Å³ per cell

Cell and atoms, written as POSCAR:
```
BPd6Au2
1.0
-2.906 2.906 4.050
2.906 -2.906 4.050
2.906 2.906 -4.050
B Pd Au
1 6 2
Direct
0.000 0.000 0.000
0.253 0.253 0.507
0.253 0.747 0.000
0.256 0.256 0.000
0.744 0.744 0.000
0.747 0.253 0.000
0.747 0.747 0.493
0.250 0.750 0.500
0.750 0.250 0.500
```

A plane-wave DFT calculation with GGA-PBE was carried out for an optimized crystal structure of B2Pd2Au.

Computed properties:
**ΔH_f (0 K)**: 0.04 eV/atom
**Magnetization**: 0.00 μB per atom
**Calculated volume**: 63 Å³ per cell

Cell and atoms, written as POSCAR:
```
B2Pd2Au
1.0
-1.476 1.476 7.253
1.476 -1.476 7.253
1.476 1.476 -7.253
B Pd Au
2 2 1
Direct
0.250 0.750 0.500
0.750 0.250 0.500
0.142 0.142 0.000
0.858 0.858 0.000
0.500 0.500 0.000
```

A plane-wave DFT calculation with GGA-PBE was carried out for an optimized crystal structure of B3PdAu.

Computed properties:
**ΔH_f (0 K)**: 1.72 eV/atom
**Magnetization**: 0.00 μB per atom
**Calculated volume**: 72 Å³ per cell

Cell and atoms, written as POSCAR:
```
B3PdAu
1.0
4.158 0.000 0.000
0.000 4.158 0.000
0.000 0.000 4.158
B Pd Au
3 1 1
Direct
0.000 0.000 0.500
0.000 0.500 0.000
0.500 0.000 0.000
0.500 0.500 0.500
0.000 0.000 0.000
```

A plane-wave DFT calculation with GGA-PBE was carried out for an optimized crystal structure of BPdAu3.

Computed properties:
**ΔH_f (0 K)**: 0.26 eV/atom
**Magnetization**: 0.00 μB per atom
**Calculated volume**: 82 Å³ per cell

Cell and atoms, written as POSCAR:
```
BPdAu3
1.0
4.341 0.000 0.000
0.000 4.341 0.000
0.000 0.000 4.341
B Pd Au
1 1 3
Direct
0.000 0.000 0.000
0.500 0.500 0.500
0.000 0.000 0.500
0.000 0.500 0.000
0.500 0.000 0.000
```

A plane-wave DFT calculation with GGA-PBE was carried out for an optimized crystal structure of BPdAu3.

Computed properties:
**ΔH_f (0 K)**: 1.64 eV/atom
**Magnetization**: 0.00 μB per atom
**Calculated volume**: 130 Å³ per cell

Cell and atoms, written as POSCAR:
```
BPdAu3
1.0
5.064 0.000 0.000
0.000 5.064 0.000
0.000 0.000 5.064
B Pd Au
1 1 3
Direct
0.000 0.000 0.000
0.500 0.500 0.500
0.000 0.500 0.500
0.500 0.000 0.500
0.500 0.500 0.000
```

A plane-wave DFT calculation with GGA-PBE was carried out for an optimized crystal structure of Pm2BPd6Au.

Computed properties:
**ΔH_f (0 K)**: -0.63 eV/atom
**Magnetization**: 0.00 μB per atom
**Calculated volume**: 188 Å³ per cell

Cell and atoms, written as POSCAR:
```
Pm2BPd6Au
1.0
5.658 0.000 0.000
2.714 4.980 0.000
2.562 1.499 6.676
Pm B Pd Au
2 1 6 1
Direct
0.243 0.240 0.185
0.757 0.760 0.815
0.500 0.500 0.500
0.170 0.684 0.357
0.290 0.293 0.736
0.315 0.833 0.641
0.685 0.167 0.359
0.710 0.707 0.264
0.830 0.316 0.643
0.000 0.000 0.000
```

A plane-wave DFT calculation with GGA-PBE was carried out for an optimized crystal structure of Pr2BPd6Au.

Computed properties:
**ΔH_f (0 K)**: -0.62 eV/atom
**Magnetization**: 0.00 μB per atom
**Calculated volume**: 192 Å³ per cell

Cell and atoms, written as POSCAR:
```
Pr2BPd6Au
1.0
5.695 0.000 0.000
2.731 5.008 0.000
2.593 1.525 6.720
Pr B Pd Au
2 1 6 1
Direct
0.250 0.248 0.180
0.750 0.752 0.820
0.500 0.500 0.500
0.177 0.692 0.351
0.286 0.290 0.725
0.307 0.825 0.647
0.693 0.175 0.353
0.714 0.710 0.275
0.823 0.308 0.649
0.000 0.000 0.000
```

A plane-wave DFT calculation with GGA-PBE was carried out for an optimized crystal structure of BPdPtAu.

Computed properties:
**ΔH_f (0 K)**: -0.15 eV/atom
**Magnetization**: 0.00 μB per atom
**Calculated volume**: 59 Å³ per cell

Cell and atoms, written as POSCAR:
```
BPdPtAu
1.0
1.620 0.935 6.505
-1.620 0.935 6.505
0.000 -1.871 6.505
B Pd Pt Au
1 1 1 1
Direct
0.000 0.000 0.000
0.395 0.395 0.395
0.617 0.617 0.617
0.172 0.172 0.172
```

A plane-wave DFT calculation with GGA-PBE was carried out for an optimized crystal structure of BPdPt2Au.

Computed properties:
**ΔH_f (0 K)**: -0.09 eV/atom
**Magnetization**: 0.00 μB per atom
**Calculated volume**: 75 Å³ per cell

Cell and atoms, written as POSCAR:
```
BPdPt2Au
1.0
4.189 0.000 0.000
0.000 4.189 0.000
0.000 0.000 4.276
B Pd Pt Au
1 1 2 1
Direct
0.000 0.000 0.000
0.000 0.000 0.500
0.000 0.500 0.000
0.500 0.000 0.000
0.500 0.500 0.500
```

A plane-wave DFT calculation with GGA-PBE was carried out for an optimized crystal structure of BPd2RhAu.

Computed properties:
**ΔH_f (0 K)**: -0.05 eV/atom
**Magnetization**: 0.00 μB per atom
**Calculated volume**: 73 Å³ per cell

Cell and atoms, written as POSCAR:
```
BPd2RhAu
1.0
4.197 0.000 0.000
0.000 4.197 0.000
0.000 0.000 4.128
B Pd Rh Au
1 2 1 1
Direct
0.000 0.000 0.000
0.000 0.500 0.000
0.500 0.000 0.000
0.000 0.000 0.500
0.500 0.500 0.500
```

A plane-wave DFT calculation with GGA-PBE was carried out for an optimized crystal structure of B2PdAuS.

Computed properties:
**Formation energy from raw total energies**: 5.19 eV/f.u.
**Magnetization**: 0.00 μB per atom
**Calculated volume**: 86 Å³ per cell

Cell and atoms, written as POSCAR:
```
B2PdAuS
1.0
3.953 0.000 0.000
0.000 3.953 0.000
0.000 0.000 5.497
B Pd Au S
2 1 1 1
Direct
0.000 0.500 0.000
0.500 0.000 0.000
0.000 0.000 0.000
0.000 0.000 0.500
0.500 0.500 0.500
```

A plane-wave DFT calculation with GGA-PBE was carried out for an optimized crystal structure of BSbPdAu2.

Computed properties:
**Formation energy from raw total energies**: 1.83 eV/f.u.
**Magnetization**: 0.00 μB per atom
**Calculated volume**: 91 Å³ per cell

Cell and atoms, written as POSCAR:
```
BSbPdAu2
1.0
4.322 0.000 0.000
0.000 4.322 0.000
0.000 0.000 4.870
B Sb Pd Au
1 1 1 2
Direct
0.000 0.000 0.000
0.000 0.000 0.500
0.500 0.500 0.500
0.000 0.500 0.000
0.500 0.000 0.000
```